# 1
This record from the Alexandria database describes an optimized crystal structure of Cr2CoPt. The functional is PBE-GGA.

Properties
Electronic total energy ... -8.167 eV/atom
Excess energy over the best structure of this formula in the dataset ... 0.005 eV/atom

CIF file:
```
data_Cr2CoPt
_chemical_formula_sum 'Cr4 Co2 Pt2'
_symmetry_space_group_name_H-M 'I 4/m m m'
_symmetry_Int_Tables_number 139
_symmetry_space_group_name_Hall '-I 4 2'
_cell_length_a 3.601
_cell_length_b 3.601
_cell_length_c 7.566
_cell_angle_alpha 90.00
_cell_angle_beta 90.00
_cell_angle_gamma 90.00
loop_
_atom_site_label
_atom_site_type_symbol
_atom_site_fract_x
_atom_site_fract_y
_atom_site_fract_z
_atom_site_occupancy
Cr1 Cr 0.000 0.500 0.250 1
Co1 Co 0.000 0.000 0.000 1
Pt1 Pt 0.000 0.000 0.500 1
```

***

# 2
This record from the Alexandria database describes an optimized crystal structure of Cr2CoPt. The functional is PBE-GGA.

Properties
Electronic total energy ... -8.112 eV/atom
Excess energy over the best structure of this formula in the dataset ... 0.060 eV/atom

CIF file:
```
data_Cr2CoPt
_chemical_formula_sum 'Cr4 Co2 Pt2'
_symmetry_space_group_name_H-M 'C m m m'
_symmetry_Int_Tables_number 65
_symmetry_space_group_name_Hall '-C 2 2'
_cell_length_a 5.099
_cell_length_b 7.524
_cell_length_c 2.582
_cell_angle_alpha 90.00
_cell_angle_beta 90.00
_cell_angle_gamma 90.00
loop_
_atom_site_label
_atom_site_type_symbol
_atom_site_fract_x
_atom_site_fract_y
_atom_site_fract_z
_atom_site_occupancy
Cr1 Cr 0.250 0.250 0.000 1
Co1 Co 0.000 0.000 0.500 1
Pt1 Pt 0.000 0.500 0.500 1
```

***

# 3
This record from the Alexandria database describes an optimized crystal structure of Cr2CoPt. The functional is PBE-GGA.

Properties
Electronic total energy ... -8.000 eV/atom
Excess energy over the best structure of this formula in the dataset ... 0.172 eV/atom

CIF file:
```
data_Cr2CoPt
_chemical_formula_sum 'Cr8 Co4 Pt4'
_symmetry_space_group_name_H-M 'F m -3 m'
_symmetry_Int_Tables_number 225
_symmetry_space_group_name_Hall '-F 4 2 3'
_cell_length_a 5.994
_cell_length_b 5.994
_cell_length_c 5.994
_cell_angle_alpha 90.00
_cell_angle_beta 90.00
_cell_angle_gamma 90.00
loop_
_atom_site_label
_atom_site_type_symbol
_atom_site_fract_x
_atom_site_fract_y
_atom_site_fract_z
_atom_site_occupancy
Cr1 Cr 0.250 0.250 0.250 1
Co1 Co 0.000 0.000 0.000 1
Pt1 Pt 0.000 0.000 0.500 1
```

***

# 4
This record from the Alexandria database describes an optimized crystal structure of CrCoPt2. The functional is PBE-GGA.

Properties
Electronic total energy ... -6.759 eV/atom
Excess energy over the best structure of this formula in the dataset ... 0.655 eV/atom

CIF file:
```
data_CrCoPt2
_chemical_formula_sum 'Cr4 Co4 Pt8'
_symmetry_space_group_name_H-M 'I -4 2 d'
_symmetry_Int_Tables_number 122
_symmetry_space_group_name_Hall 'I -4 2bw'
_cell_length_a 6.672
_cell_length_b 6.672
_cell_length_c 5.314
_cell_angle_alpha 90.00
_cell_angle_beta 90.00
_cell_angle_gamma 90.00
loop_
_atom_site_label
_atom_site_type_symbol
_atom_site_fract_x
_atom_site_fract_y
_atom_site_fract_z
_atom_site_occupancy
Cr1 Cr 0.000 0.000 0.000 1
Co1 Co 0.000 0.000 0.500 1
Pt1 Pt 0.241 0.750 0.125 1
```

***

# 5
This record from the Alexandria database describes an optimized crystal structure of Cr2CoPt. The functional is PBE-GGA.

Properties
Electronic total energy ... -8.172 eV/atom
Excess energy over the best structure of this formula in the dataset ... 0.000 eV/atom

CIF file:
```
data_Cr2CoPt
_chemical_formula_sum 'Cr2 Co1 Pt1'
_symmetry_space_group_name_H-M 'P m m m'
_symmetry_Int_Tables_number 47
_cell_length_a 2.603
_cell_length_b 3.664
_cell_length_c 5.179
_cell_angle_alpha 90.00
_cell_angle_beta 90.00
_cell_angle_gamma 90.00
loop_
_symmetry_equiv_pos_as_xyz
'x,y,z'
'-x,-y,-z'
'-x,-y,z'
'x,y,-z'
'x,-y,-z'
'-x,y,z'
'-x,y,-z'
'x,-y,z'
loop_
_atom_site_label
_atom_site_type_symbol
_atom_site_fract_x
_atom_site_fract_y
_atom_site_fract_z
_atom_site_occupancy
Cr1 Cr 0.000 0.000 0.218 1
Co1 Co 0.500 0.500 0.000 1
Pt1 Pt 0.500 0.500 0.500 1
```

***

# 6
This record from the Alexandria database describes an optimized crystal structure of CrCo2Pt. The functional is PBE-GGA.

Properties
Electronic total energy ... -7.456 eV/atom

CIF file:
```
data_CrCo2Pt
_chemical_formula_sum 'Cr2 Co4 Pt2'
_symmetry_space_group_name_H-M 'C 1 m 1'
_symmetry_Int_Tables_number 8
_cell_length_a 8.523
_cell_length_b 2.635
_cell_length_c 4.480
_cell_angle_alpha 90.00
_cell_angle_beta 100.60
_cell_angle_gamma 90.00
loop_
_symmetry_equiv_pos_as_xyz
'x,y,z'
'x,-y,z'
'x+1/2,y+1/2,z'
'x+1/2,-y+1/2,z'
loop_
_atom_site_label
_atom_site_type_symbol
_atom_site_fract_x
_atom_site_fract_y
_atom_site_fract_z
_atom_site_occupancy
Cr1 Cr 0.000 0.000 0.000 1
Co1 Co 0.247 0.500 0.237 1
Co2 Co 0.491 0.000 0.457 1
Pt1 Pt 0.245 0.000 0.734 1
```

***

# 7
This record from the Alexandria database describes an optimized crystal structure of CrCoPt2. The functional is PBE-GGA.

Properties
Electronic total energy ... -7.353 eV/atom
Excess energy over the best structure of this formula in the dataset ... 0.060 eV/atom

CIF file:
```
data_CrCoPt2
_chemical_formula_sum 'Cr2 Co2 Pt4'
_symmetry_space_group_name_H-M 'I 4/m m m'
_symmetry_Int_Tables_number 139
_symmetry_space_group_name_Hall '-I 4 2'
_cell_length_a 3.809
_cell_length_b 3.809
_cell_length_c 7.541
_cell_angle_alpha 90.00
_cell_angle_beta 90.00
_cell_angle_gamma 90.00
loop_
_atom_site_label
_atom_site_type_symbol
_atom_site_fract_x
_atom_site_fract_y
_atom_site_fract_z
_atom_site_occupancy
Cr1 Cr 0.000 0.000 0.000 1
Co1 Co 0.000 0.000 0.500 1
Pt1 Pt 0.000 0.500 0.250 1
```

***

# 8
This record from the Alexandria database describes an optimized crystal structure of CrCoPt2. The functional is PBE-GGA.

Properties
Electronic total energy ... -7.413 eV/atom
Excess energy over the best structure of this formula in the dataset ... 0.000 eV/atom

CIF file:
```
data_CrCoPt2
_chemical_formula_sum 'Cr1 Co1 Pt2'
_symmetry_space_group_name_H-M 'P 4/m m m'
_symmetry_Int_Tables_number 123
_symmetry_space_group_name_Hall '-P 4 2'
_cell_length_a 3.849
_cell_length_b 3.849
_cell_length_c 3.739
_cell_angle_alpha 90.00
_cell_angle_beta 90.00
_cell_angle_gamma 90.00
loop_
_atom_site_label
_atom_site_type_symbol
_atom_site_fract_x
_atom_site_fract_y
_atom_site_fract_z
_atom_site_occupancy
Cr1 Cr 0.000 0.000 0.000 1
Co1 Co 0.500 0.500 0.000 1
Pt1 Pt 0.000 0.500 0.500 1
```

***

# 9
This record from the Alexandria database describes an optimized crystal structure of CrCo2Pt. The functional is PBE-GGA.

Properties
Electronic total energy ... -7.478 eV/atom

CIF file:
```
data_CrCo2Pt
_chemical_formula_sum 'Cr1 Co2 Pt1'
_symmetry_space_group_name_H-M 'P 4 m m'
_symmetry_Int_Tables_number 99
_cell_length_a 2.625
_cell_length_b 2.625
_cell_length_c 7.149
_cell_angle_alpha 90.00
_cell_angle_beta 90.00
_cell_angle_gamma 90.00
loop_
_symmetry_equiv_pos_as_xyz
'x,y,z'
'-y,x,z'
'-x,-y,z'
'y,-x,z'
'-x,y,z'
'y,x,z'
'x,-y,z'
'-y,-x,z'
loop_
_atom_site_label
_atom_site_type_symbol
_atom_site_fract_x
_atom_site_fract_y
_atom_site_fract_z
_atom_site_occupancy
Cr1 Cr 0.000 0.000 0.000 1
Co1 Co 0.000 0.000 0.542 1
Co2 Co 0.500 0.500 0.765 1
Pt1 Pt 0.500 0.500 0.267 1
```

***

# 10
This record from the Alexandria database describes an optimized crystal structure of CrCoPt2. The functional is PBE-GGA.

Properties
Electronic total energy ... -7.277 eV/atom
Excess energy over the best structure of this formula in the dataset ... 0.136 eV/atom

CIF file:
```
data_CrCoPt2
_chemical_formula_sum 'Cr1 Co1 Pt2'
_symmetry_space_group_name_H-M 'P 4 m m'
_symmetry_Int_Tables_number 99
_cell_length_a 2.682
_cell_length_b 2.682
_cell_length_c 7.474
_cell_angle_alpha 90.00
_cell_angle_beta 90.00
_cell_angle_gamma 90.00
loop_
_symmetry_equiv_pos_as_xyz
'x,y,z'
'-y,x,z'
'-x,-y,z'
'y,-x,z'
'-x,y,z'
'y,x,z'
'x,-y,z'
'-y,-x,z'
loop_
_atom_site_label
_atom_site_type_symbol
_atom_site_fract_x
_atom_site_fract_y
_atom_site_fract_z
_atom_site_occupancy
Cr1 Cr 0.000 0.000 0.000 1
Co1 Co 0.500 0.500 0.791 1
Pt1 Pt 0.000 0.000 0.541 1
Pt2 Pt 0.500 0.500 0.249 1
```

***

# 11
This record from the Alexandria database describes an optimized crystal structure of CrCoPt6. The functional is PBE-GGA.

Properties
Electronic total energy ... -6.772 eV/atom

CIF file:
```
data_CrCoPt6
_chemical_formula_sum 'Cr1 Co1 Pt6'
_symmetry_space_group_name_H-M 'P 4/m m m'
_symmetry_Int_Tables_number 123
_symmetry_space_group_name_Hall '-P 4 2'
_cell_length_a 3.898
_cell_length_b 3.898
_cell_length_c 7.835
_cell_angle_alpha 90.00
_cell_angle_beta 90.00
_cell_angle_gamma 90.00
loop_
_atom_site_label
_atom_site_type_symbol
_atom_site_fract_x
_atom_site_fract_y
_atom_site_fract_z
_atom_site_occupancy
Cr1 Cr 0.000 0.000 0.000 1
Co1 Co 0.000 0.000 0.500 1
Pt1 Pt 0.000 0.500 0.251 1
Pt2 Pt 0.500 0.500 0.000 1
Pt3 Pt 0.500 0.500 0.500 1
```

***

# 12
This record from the Alexandria database describes an optimized crystal structure of CrCo2Pt. The functional is PBE-GGA.

Properties
Electronic total energy ... -7.545 eV/atom

CIF file:
```
data_CrCo2Pt
_chemical_formula_sum 'Cr2 Co4 Pt2'
_symmetry_space_group_name_H-M 'I 4/m m m'
_symmetry_Int_Tables_number 139
_symmetry_space_group_name_Hall '-I 4 2'
_cell_length_a 3.672
_cell_length_b 3.672
_cell_length_c 7.408
_cell_angle_alpha 90.00
_cell_angle_beta 90.00
_cell_angle_gamma 90.00
loop_
_atom_site_label
_atom_site_type_symbol
_atom_site_fract_x
_atom_site_fract_y
_atom_site_fract_z
_atom_site_occupancy
Cr1 Cr 0.000 0.000 0.000 1
Co1 Co 0.000 0.500 0.250 1
Pt1 Pt 0.000 0.000 0.500 1
```

***

| no. | Fermi-level density of states (states/eV per cell) |
| --- | --- |
| 1 | 9.2 |
| 2 | 7.9 |
| 3 | 8.2 |
| 4 | 32.4 |
| 5 | 5.0 |
| 6 | 11.1 |
| 7 | 8.2 |
| 8 | 4.1 |
| 9 | 4.1 |
| 10 | 4.0 |
| 11 | 13.5 |
| 12 | 8.7 |